1.
Entry from Alexandria: crystalline NaSc2HgRh at its relaxed geometry (GGA-PBE).

The structure in POSCAR format:
```
NaSc2HgRh
1.0
-2.843 -4.094 0.947
3.736 -2.415 0.778
-0.200 1.273 4.908
Sc Hg Rh Na
2 1 1 1
direct
0.500 0.000 0.000
0.000 0.000 0.500
0.500 0.500 0.500
0.000 0.500 0.000
0.000 0.000 0.000
```

Results
Formation enthalpy at 0 K (eV per atom): 0.876
DOS(E_F) (states/eV/atom): 1.367
E_tot (eV/cell): -17.3
Density (g cm⁻³): 5.9
Size of the total moment (μB per atom): 0.0001

---

2.
Entry from Alexandria: crystalline NaSnHg2Rh at its relaxed geometry (GGA-PBE).

The structure in POSCAR format:
```
NaSnHg2Rh
1.0
5.323 0.000 0.000
0.000 5.323 0.000
0.000 0.000 5.006
Hg Rh Na Sn
2 1 1 1
direct
0.500 0.000 0.000
0.000 0.500 0.000
0.000 0.000 0.000
0.500 0.500 0.500
0.000 0.000 0.500
```

Results
Formation enthalpy at 0 K (eV per atom): -0.092
DOS(E_F) (states/eV/atom): 0.458
E_tot (eV/cell): -13.7
Density (g cm⁻³): 7.6
Size of the total moment (μB per atom): 0.0000

---

3.
Entry from Alexandria: crystalline NaTlHgRh at its relaxed geometry (GGA-PBE).

The structure in POSCAR format:
```
NaTlHgRh
1.0
4.851 0.000 0.000
2.425 4.201 0.000
2.425 1.400 3.960
Rh Hg Na Tl
1 1 1 1
direct
0.500 0.500 0.500
0.750 0.750 0.750
0.000 0.000 0.000
0.250 0.250 0.250
```

Results
Formation enthalpy at 0 K (eV per atom): 0.022
DOS(E_F) (states/eV/atom): 0.630
E_tot (eV/cell): -11.3
Density (g cm⁻³): 10.9
Size of the total moment (μB per atom): 0.0000

---

4.
Entry from Alexandria: crystalline NaHg2RhW at its relaxed geometry (GGA-PBE).

The structure in POSCAR format:
```
NaHg2RhW
1.0
5.280 0.000 0.000
0.000 4.773 0.000
0.000 0.000 5.280
Na Hg W Rh
1 2 1 1
direct
0.500 0.500 0.500
0.500 0.000 0.000
0.000 0.000 0.500
0.000 0.500 0.000
0.000 0.000 0.000
```

Results
Formation enthalpy at 0 K (eV per atom): 0.760
DOS(E_F) (states/eV/atom): 0.413
E_tot (eV/cell): -18.4
Density (g cm⁻³): 8.9
Size of the total moment (μB per atom): 0.4846

---

5.
Entry from Alexandria: crystalline NaHg2Ru at its relaxed geometry (GGA-PBE).

The structure in POSCAR format:
```
NaHg2Ru
1.0
-2.554 -3.912 0.968
-3.903 0.312 2.726
-4.320 -0.571 -1.944
Hg Ru Na
2 1 1
direct
0.750 0.750 0.750
0.250 0.250 0.250
0.500 0.500 0.500
0.000 0.000 0.000
```

Results
Formation enthalpy at 0 K (eV per atom): 0.352
DOS(E_F) (states/eV/atom): 0.601
Energy relative to the lowest polymorph listed for this composition (eV/f.u.): 0.00
E_tot (eV/cell): -9.8
Density (g cm⁻³): 11.4
Size of the total moment (μB per atom): 0.0000

---

6.
Entry from Alexandria: crystalline NaHg2Ru at its relaxed geometry (GGA-PBE).

The structure in POSCAR format:
```
NaHg2Ru
1.0
-1.999 3.868 -1.148
-3.653 -1.191 2.348
0.744 5.452 8.242
Hg Ru Na
4 2 2
direct
0.661 0.125 0.250
0.089 0.625 0.250
0.875 0.911 0.750
0.375 0.339 0.750
0.000 0.000 0.000
0.750 0.250 0.500
0.500 0.500 0.000
0.250 0.750 0.500
```

Results
Formation enthalpy at 0 K (eV per atom): 0.659
DOS(E_F) (states/eV/atom): 0.939
Energy relative to the lowest polymorph listed for this composition (eV/f.u.): 1.23
E_tot (eV/cell): -17.1
Density (g cm⁻³): 9.2
Size of the total moment (μB per atom): 0.2160